Entry from OQMD: a relaxed GdYC2Cl2 crystal (PBE).

a = 3.9542 Å, b = 3.9542 Å, c = 10.7329 Å
α = 94.71°, β = 94.71°, γ = 56.76°
With the nearest neighbours (Å) after each atom.
Element x y z (fractional)
C  0.5734  0.5734  0.4654  1 C 1.34
C  0.4270  0.4270  0.5376  1 C 1.34
Cl  0.1782  0.1782  0.1993  3 Gd 2.76-2.96
Cl  0.8208  0.8208  0.7982  3 Y 2.75-2.96
Gd  0.8548  0.8548  0.3603  3 C 2.35-2.61
Y  0.1459  0.1459  0.6392  3 C 2.33-2.59

Computed properties:
Total DFT energy (no corrections) = -6.790 eV per atom

***

Entry from OQMD: a relaxed NdGdSc2Sn2 crystal (PBE).

a = 8.8222 Å, b = 8.8222 Å, c = 8.8222 Å
α = 150.61°, β = 150.61°, γ = 42.04°
With the nearest neighbours (Å) after each atom.
Element x y z (fractional)
Gd  0.3262  0.3262  0.0000  5 Sn 3.25-3.26, 4 Sc 3.62
Nd  0.6755  0.6755  0.0000  5 Sn 3.24-3.26
Sc  0.9991  0.4991  0.5000  4 Sn 3.06-3.09, 4 Sc 3.16
Sc  0.4991  0.9991  0.5000  4 Sn 3.06-3.09, 4 Sc 3.16
Sn  0.1280  0.1280  0.0000  4 Sc 3.09, 4 Nd 3.26, 1 Gd 3.26
Sn  0.8721  0.8721  0.0000  4 Sc 3.06, 1 Nd 3.24, 4 Gd 3.25

Computed properties:
Total DFT energy (no corrections) = -5.660 eV per atom

***

Entry from OQMD: a relaxed KAgNO crystal (PBE).

a = 3.7615 Å, b = 6.2024 Å, c = 6.1436 Å
α = 90.00°, β = 90.00°, γ = 90.00°
With the nearest neighbours (Å) after each atom.
Element x y z (fractional)
Ag  0.5000  0.0006  0.2390  2 N 1.96, 2 O 2.13-2.14
Ag  0.5000  0.5006  0.7610  2 N 1.96, 2 O 2.13-2.14
K  0.0000  0.5023  0.2104  4 O 2.75-2.77, 1 N 2.84
K  0.0000  0.0023  0.7896  4 O 2.75-2.77, 1 N 2.84
N  0.0000  0.9988  0.3279  2 Ag 1.96
N  0.0000  0.4988  0.6721  2 Ag 1.96
O  0.5000  0.2522  0.0024  2 Ag 2.13-2.14
O  0.5000  0.7522  0.9976  2 Ag 2.13-2.14

Computed properties:
Polymorph energy (0 for the lowest one) = 1.57 eV/f.u.